1.
Density functional theory data (PBE) for BeFeOs after structural relaxation.

The value obtained for the formation energy is 0.008 eV per atom. Its symmetry is P-1 (2).

Lattice parameters (Å, degrees): 2.671 4.549 6.112 72.49 77.41 72.94
Positions (direct):
Be 0.118 0.429 0.336
Be 0.882 0.571 0.664
Fe 0.376 0.284 0.963
Fe 0.624 0.716 0.037
Os 0.142 0.022 0.694
Os 0.858 0.978 0.306


2.
Density functional theory data (PBE) for In7Sn3Hg2 after structural relaxation.

The value obtained for the formation energy is 0.039 eV per atom. Its symmetry is P2/m (10).

Lattice parameters (Å, degrees): 6.206 3.189 16.480 90.00 92.08 90.00
Positions (direct):
In 0.000 0.000 0.000
In 0.235 0.500 0.169
In 0.251 0.500 0.500
In 0.262 0.000 0.834
In 0.738 0.000 0.166
In 0.749 0.500 0.500
In 0.765 0.500 0.831
Sn 0.476 0.000 0.336
Sn 0.500 0.500 0.000
Sn 0.524 0.000 0.664
Hg 0.028 0.500 0.670
Hg 0.972 0.500 0.330


Across the entries above, total moment takes the values 0.00, 0.00 μB/atom, respectively.